A plane-wave DFT calculation with PBE was carried out for crystalline NpH2Cl8 at its relaxed geometry.

Structure (POSCAR):
```
NpH2Cl8
1.0
6.0713 -3.8738 0.0000
6.0713 3.8738 0.0000
-0.0022 0.0000 6.5307
Cl H Np
8 2 1
Direct
0.6688 0.1151 0.1759 Cl
0.1151 0.6688 0.1759 Cl
0.1339 0.1339 0.2798 Cl
0.6299 0.6299 0.3601 Cl
0.3701 0.3701 0.6399 Cl
0.8661 0.8661 0.7202 Cl
0.8849 0.3312 0.8241 Cl
0.3312 0.8849 0.8241 Cl
0.7308 0.7308 0.2961 H
0.2692 0.2692 0.7039 H
0.0000 0.0000 0.0000 Np
```

Output
crystal system: monoclinic
energy: -4.1275 eV/atom
calculated density: 2.8 Mg/m³

=====

A plane-wave DFT calculation with PBE was carried out for crystalline H4PdCl2O2 at its relaxed geometry.

Structure (POSCAR):
```
H4PdCl2O2
1.0
1.3066 3.5975 3.9385
-4.6099 2.4048 -1.7684
-1.9955 -2.0060 2.4881
Cl H O Pd
2 4 2 1
Direct
0.7342 0.7342 0.3583 Cl
0.2658 0.2658 0.6417 Cl
0.7699 0.3978 0.1443 H
0.3978 0.7699 0.1443 H
0.6022 0.2301 0.8557 H
0.2301 0.6022 0.8557 H
0.7551 0.2449 0.0000 O
0.2449 0.7551 0.0000 O
0.0000 0.0000 0.0000 Pd
```

Output
crystal system: monoclinic
polymorph energy (0 for the lowest one): 0 meV per atom
calculated density: 3.2 Mg/m³

=====

A plane-wave DFT calculation with PBE was carried out for crystalline PrH2ClO2 at its relaxed geometry.

Structure (POSCAR):
```
PrH2ClO2
1.0
6.2082 0.0000 0.0000
0.0000 3.8878 0.0000
-2.6255 0.0000 6.2776
Cl H O Pr
2 4 4 2
Direct
0.2555 0.2500 0.0521 Cl
0.7445 0.7500 0.9479 Cl
0.7982 0.2500 0.1919 H
0.6199 0.7500 0.2782 H
0.3801 0.2500 0.7218 H
0.2018 0.7500 0.8081 H
0.9250 0.2500 0.3326 O
0.6015 0.7500 0.4145 O
0.3985 0.2500 0.5855 O
0.0750 0.7500 0.6674 O
0.1886 0.7500 0.3627 Pr
0.8114 0.2500 0.6373 Pr
```

Output
crystal system: monoclinic
energy: -5.9410 eV/atom
calculated density: 4.6 Mg/m³

=====

A plane-wave DFT calculation with PBE was carried out for crystalline PrH2ClO2 at its relaxed geometry.

Structure (POSCAR):
```
PrH2ClO2
1.0
-3.9956 -4.5996 1.1950
2.8887 -2.1218 1.4920
0.5412 4.3661 5.1613
Cl H O Pr
2 4 4 2
Direct
0.7428 0.7500 0.4476 Cl
0.2572 0.2500 0.5524 Cl
0.3821 0.2500 0.2253 H
0.1989 0.7500 0.3106 H
0.8011 0.2500 0.6894 H
0.6179 0.7500 0.7747 H
0.3987 0.2500 0.0878 O
0.0743 0.7500 0.1690 O
0.9257 0.2500 0.8310 O
0.6012 0.7500 0.9122 O
0.8106 0.2500 0.1369 Pr
0.1894 0.7500 0.8631 Pr
```

Output
crystal system: monoclinic
energy: -5.9402 eV/atom
calculated density: 4.6 Mg/m³